# 1
CoSbOs2 | PBE | optimized geometry Values from VASP.

Quantum ESPRESSO input file:
```
&SYSTEM
  ibrav = 0, nat = 8, ntyp = 3
/
ATOMIC_SPECIES
Co 58.93 Co.upf
Sb 121.76 Sb.upf
Os 190.23 Os.upf
ATOMIC_POSITIONS angstrom
Co 0.000 0.000 0.000
Co 0.000 2.763 2.809
Sb 2.763 0.000 2.809
Sb 0.000 0.000 5.618
Os 4.145 1.064 -1.405
Os 1.064 1.382 1.405
Os -1.382 1.700 4.214
Os 1.700 1.382 7.023
CELL_PARAMETERS angstrom
-2.763 2.763 5.618
2.763 -2.763 5.618
2.763 2.763 -5.618
```

Computed properties:
relative energy among the computed polymorphs: 3.05 eV per formula unit
space-group type: No. 122
ΔE_f (raw): 1206 meV/atom



# 2
BaO4F5 | PBE | optimized geometry Values from VASP.

Quantum ESPRESSO input file:
```
&SYSTEM
  ibrav = 0, nat = 10, ntyp = 3
/
ATOMIC_SPECIES
Ba 137.33 Ba.upf
O 16.00 O.upf
F 19.00 F.upf
ATOMIC_POSITIONS angstrom
Ba 0.000 0.000 0.000
O -2.175 -0.221 3.043
O 3.030 -0.230 2.199
O 2.218 -0.230 3.083
O 7.422 -0.221 2.239
F 0.606 1.562 2.834
F 4.642 1.562 2.448
F 2.442 -1.145 0.612
F 5.244 -0.038 0.000
F 2.806 -1.145 4.670
CELL_PARAMETERS angstrom
5.244 -2.698 0.000
5.244 2.698 0.000
-5.240 0.000 5.282
```

Computed properties:
space-group type: No. 5
ΔE_f (raw): -1068 meV/atom



# 3
Dy3Tm8 | PBE | optimized geometry Values from VASP.

Quantum ESPRESSO input file:
```
&SYSTEM
  ibrav = 0, nat = 11, ntyp = 2
/
ATOMIC_SPECIES
Dy 162.50 Dy.upf
Tm 168.93 Tm.upf
ATOMIC_POSITIONS angstrom
Dy -2.199 -1.270 5.738
Dy -2.199 1.270 11.475
Dy 0.000 2.540 5.738
Tm -2.542 -1.864 9.301
Tm -2.885 1.270 7.912
Tm 0.343 -3.134 7.912
Tm 0.000 0.000 7.243
Tm 0.000 0.000 9.971
Tm -0.343 3.134 9.301
Tm 2.885 -1.270 9.301
Tm 2.542 1.864 7.912
CELL_PARAMETERS angstrom
4.399 2.540 5.738
-4.399 2.540 5.738
0.000 -5.079 5.738
```

Computed properties:
relative energy among the computed polymorphs: 6.26 eV per formula unit
space-group type: No. 148
formation enthalpy at 0 K: 0.595 eV/atom



# 4
TbPmSm4Er2 | PBE | optimized geometry Values from VASP.

Quantum ESPRESSO input file:
```
&SYSTEM
  ibrav = 0, nat = 8, ntyp = 4
/
ATOMIC_SPECIES
Tb 158.93 Tb.upf
Pm 145.00 Pm.upf
Sm 150.36 Sm.upf
Er 167.26 Er.upf
ATOMIC_POSITIONS angstrom
Tb 0.000 0.000 0.000
Pm -1.044 1.799 5.857
Sm -0.014 0.000 8.812
Sm 1.038 1.799 2.924
Sm 3.088 1.799 8.790
Sm 4.141 0.000 2.902
Er 2.063 0.000 5.857
Er 3.108 1.799 0.000
CELL_PARAMETERS angstrom
6.215 0.000 0.000
0.000 3.597 0.000
-2.088 0.000 11.714
```

Computed properties:
space-group type: No. 10
formation enthalpy at 0 K: 0.017 eV/atom